Compound: Na12Cu7O14
Source: Alexandria
Functional: SCAN
Structure: PBEsol geometry

Structure (CIF):
```
data_Na12Cu7O14
_chemical_formula_sum 'Na24 Cu14 O28'
_cell_length_a 8.3324
_cell_length_b 19.6383
_cell_length_c 5.6248
_cell_angle_alpha 90.00
_cell_angle_beta 112.09
_cell_angle_gamma 90.00
_space_group_name_H-M_alt 'C 1 m 1'
_space_group_IT_number 8
_space_group_name_Hall 'C -2y'
loop_
_atom_site_label
_atom_site_fract_x
_atom_site_fract_y
_atom_site_fract_z
Na1 0.0000 0.0000 0.0000
Na2 0.0172 0.1800 0.0277
Na3 0.0548 0.3479 0.0522
Na4 0.0626 0.5000 0.0479
Na5 0.3269 0.0755 0.2939
Na6 0.3416 0.2304 0.2972
Na7 0.3850 0.4144 0.3369
Cu1 0.1810 0.5000 0.6371
Cu2 0.1847 0.3569 0.6504
Cu3 0.1934 0.2139 0.6780
Cu4 0.2052 0.0714 0.7043
O1 0.1273 0.4261 0.3967
O2 0.1295 0.0000 0.4493
O3 0.1347 0.2812 0.4205
O4 0.1514 0.1416 0.4462
O5 0.2347 0.2873 0.9051
O6 0.2469 0.4288 0.8948
O7 0.2559 0.1473 0.9380
O8 0.2621 0.0000 0.9515
```

Computed properties:
For the uncorrected formation energy, the calculation gives -1.26 eV per atom. For the density of states at the Fermi level, the calculation gives 4.01 states/eV/f.u. For the spin magnetization, the calculation gives 10.00 μB per cell.